Record 1
KSc2AgO4 PBE optimized geometry; raw total energy = -55.4 eV/cell; space-group type = P-6m2 (187)
1.0
3.211 0.000 0.000
-1.605 2.780 0.000
0.000 0.000 13.016
K Sc Ag O
1 2 1 4
Direct
0.000 0.000 0.000
0.333 0.667 0.263
0.333 0.667 0.737
0.667 0.333 0.500
0.000 0.000 0.181
0.000 0.000 0.819
0.667 0.333 0.341
0.667 0.333 0.659

---

Record 2
KTcAgO3 PBE optimized geometry; raw total energy = -140.1 eV/cell; space-group type = Pnma (62)
1.0
11.952 0.000 0.000
0.000 3.183 0.000
0.000 0.000 9.861
K Tc Ag O
4 4 4 12
Direct
0.246 0.250 0.047
0.254 0.750 0.547
0.746 0.250 0.453
0.754 0.750 0.953
0.009 0.250 0.355
0.491 0.750 0.855
0.509 0.250 0.145
0.991 0.750 0.645
0.007 0.250 0.894
0.493 0.750 0.394
0.507 0.250 0.606
0.993 0.750 0.106
0.071 0.250 0.543
0.108 0.750 0.311
0.115 0.750 0.750
0.385 0.250 0.250
0.392 0.250 0.811
0.429 0.750 0.043
0.571 0.250 0.957
0.608 0.750 0.189
0.615 0.750 0.750
0.885 0.250 0.250
0.892 0.250 0.689
0.929 0.750 0.457

---

Record 3
KZrAgO3 PBE optimized geometry; raw total energy = -78.0 eV/cell; space-group type = P2_1/m (11); excess energy over the best structure of this formula in the dataset = 0.041 eV per atom
1.0
3.326 0.000 0.000
0.000 8.500 0.000
-1.514 0.000 7.151
K Zr Ag O
2 2 2 6
Direct
0.173 0.250 0.354
0.827 0.750 0.646
0.500 0.000 0.000
0.500 0.500 0.000
0.114 0.750 0.247
0.886 0.250 0.753
0.087 0.509 0.194
0.087 0.991 0.194
0.477 0.750 0.951
0.523 0.250 0.049
0.913 0.009 0.806
0.913 0.491 0.806

---

Record 4
KZrAgO3 PBE optimized geometry; raw total energy = -78.0 eV/cell; space-group type = Cmcm (63); excess energy over the best structure of this formula in the dataset = 0.039 eV per atom
1.0
1.666 -7.180 0.000
1.666 7.180 0.000
0.000 0.000 8.508
K Zr Ag O
2 2 2 6
Direct
0.176 0.824 0.750
0.824 0.176 0.250
0.500 0.500 0.000
0.500 0.500 0.500
0.124 0.876 0.250
0.876 0.124 0.750
0.096 0.904 0.010
0.096 0.904 0.490
0.475 0.525 0.250
0.525 0.475 0.750
0.904 0.096 0.510
0.904 0.096 0.990

---

Record 5
KZrAg3O4 PBE optimized geometry; raw total energy = -48.2 eV/cell; space-group type = P-43m (215)
1.0
5.667 0.000 0.000
0.000 5.667 0.000
0.000 0.000 5.667
K Zr Ag O
1 1 3 4
Direct
0.000 0.000 0.000
0.500 0.500 0.500
0.000 0.500 0.500
0.500 0.000 0.500
0.500 0.500 0.000
0.293 0.293 0.293
0.293 0.707 0.707
0.707 0.293 0.707
0.707 0.707 0.293

---

Record 6
KZrAgO3 PBE optimized geometry; raw total energy = -157.0 eV/cell; space-group type = Pnma (62); excess energy over the best structure of this formula in the dataset = 0.000 eV per atom
1.0
12.321 0.000 0.000
0.000 3.277 0.000
0.000 0.000 9.932
K Zr Ag O
4 4 4 12
Direct
0.249 0.250 0.124
0.251 0.750 0.624
0.749 0.250 0.376
0.751 0.750 0.876
0.028 0.250 0.356
0.472 0.750 0.856
0.528 0.250 0.144
0.972 0.750 0.644
0.041 0.250 0.912
0.459 0.750 0.412
0.541 0.250 0.588
0.959 0.750 0.088
0.075 0.250 0.558
0.095 0.750 0.791
0.119 0.750 0.290
0.381 0.250 0.790
0.405 0.250 0.291
0.425 0.750 0.058
0.575 0.250 0.942
0.595 0.750 0.709
0.619 0.750 0.210
0.881 0.250 0.710
0.905 0.250 0.209
0.925 0.750 0.442

---

The lowest raw total energy belongs to which entry? number 6

---

Among the records above, which one has the lowest raw total energy? number 6

---

Copy entry 4 word for word.
KZrAgO3 PBE optimized geometry; raw total energy = -78.0 eV/cell; space-group type = Cmcm (63); excess energy over the best structure of this formula in the dataset = 0.039 eV per atom
1.0
1.666 -7.180 0.000
1.666 7.180 0.000
0.000 0.000 8.508
K Zr Ag O
2 2 2 6
Direct
0.176 0.824 0.750
0.824 0.176 0.250
0.500 0.500 0.000
0.500 0.500 0.500
0.124 0.876 0.250
0.876 0.124 0.750
0.096 0.904 0.010
0.096 0.904 0.490
0.475 0.525 0.250
0.525 0.475 0.750
0.904 0.096 0.510
0.904 0.096 0.990